Entry 1:
This record from Alexandria via LeMat-Bulk describes an optimized crystal structure of CaNd4Y4. The functional is GGA-PBE.

Its density of states at the Fermi level is 30.273 states/eV/cell. Its space group is P-1 (2). As for the total energy: -46.60 eV/f.u. The energy relative to the elements comes out at 0.036 eV/atom.

```
data_CaNd4Y4
_chemical_formula_sum 'Ca2 Nd8 Y8'
_cell_length_a 9.804
_cell_length_b 9.440
_cell_length_c 11.419
_cell_angle_alpha 78.83
_cell_angle_beta 115.40
_cell_angle_gamma 138.01
_space_group_name_H-M_alt 'P 1'
_space_group_IT_number 1
_space_group_name_Hall 'P 1'
loop_
_atom_site_label
_atom_site_fract_x
_atom_site_fract_y
_atom_site_fract_z
Nd1 0.266 0.796 0.537
Ca1 0.297 0.436 0.686
Y1 0.411 0.882 0.129
Y2 0.072 0.547 0.800
Y3 0.373 0.228 0.982
Nd2 0.966 0.110 0.348
Y4 0.627 0.772 0.018
Nd3 0.185 0.989 0.238
Nd4 0.143 0.339 0.092
Y5 0.589 0.118 0.871
Nd5 0.734 0.204 0.463
Y6 0.481 0.679 0.422
Nd6 0.857 0.661 0.908
Y7 0.928 0.453 0.200
Ca2 0.703 0.564 0.314
Nd7 0.815 0.011 0.762
Y8 0.519 0.321 0.578
Nd8 0.034 0.890 0.652
```

Entry 2:
This record from Alexandria via LeMat-Bulk describes an optimized crystal structure of CaNd3Y2. The functional is GGA-PBE.

Its density of states at the Fermi level is 19.936 states/eV/cell. Its space group is C2/m (12). As for the total energy: -28.09 eV/f.u. The energy relative to the elements comes out at 0.190 eV/atom.

```
data_CaNd3Y2
_chemical_formula_sum 'Ca2 Nd6 Y4'
_cell_length_a 8.015
_cell_length_b 6.765
_cell_length_c 8.015
_cell_angle_alpha 90.16
_cell_angle_beta 101.38
_cell_angle_gamma 89.84
_space_group_name_H-M_alt 'P 1'
_space_group_IT_number 1
_space_group_name_Hall 'P 1'
loop_
_atom_site_label
_atom_site_fract_x
_atom_site_fract_y
_atom_site_fract_z
Y1 0.172 0.000 0.172
Y2 0.828 0.500 0.828
Nd1 0.080 0.249 0.575
Y3 0.172 0.500 0.172
Nd2 0.425 0.249 0.920
Nd3 0.920 0.751 0.425
Y4 0.828 0.000 0.828
Nd4 0.786 0.251 0.214
Ca1 0.518 0.250 0.482
Nd5 0.575 0.751 0.080
Ca2 0.482 0.750 0.518
Nd6 0.214 0.749 0.786
```

Entry 3:
This record from Alexandria via LeMat-Bulk describes an optimized crystal structure of Ca2Nd3Y2. The functional is GGA-PBE.

Its density of states at the Fermi level is 10.137 states/eV/cell. Its space group is C2/m (12). As for the total energy: -30.78 eV/f.u. The energy relative to the elements comes out at 0.064 eV/atom.

```
data_Ca2Nd3Y2
_chemical_formula_sum 'Ca2 Nd3 Y2'
_cell_length_a 5.193
_cell_length_b 6.358
_cell_length_c 9.857
_cell_angle_alpha 57.59
_cell_angle_beta 74.73
_cell_angle_gamma 65.90
_space_group_name_H-M_alt 'P 1'
_space_group_IT_number 1
_space_group_name_Hall 'P 1'
loop_
_atom_site_label
_atom_site_fract_x
_atom_site_fract_y
_atom_site_fract_z
Ca1 0.858 0.857 0.427
Ca2 0.142 0.143 0.573
Nd1 0.000 0.000 0.000
Y1 0.716 0.699 0.869
Nd2 0.571 0.593 0.266
Y2 0.284 0.301 0.131
Nd3 0.429 0.407 0.734
```

Entry 4:
This record from Alexandria via LeMat-Bulk describes an optimized crystal structure of CaNd15Y4. The functional is GGA-PBE.

Its density of states at the Fermi level is 29.566 states/eV/cell. Its space group is P4/mmm (123). As for the total energy: -98.97 eV/f.u. The energy relative to the elements comes out at 0.020 eV/atom.

```
data_CaNd15Y4
_chemical_formula_sum 'Ca1 Nd15 Y4'
_cell_length_a 5.193
_cell_length_b 5.193
_cell_length_c 25.856
_cell_angle_alpha 90.00
_cell_angle_beta 90.00
_cell_angle_gamma 90.00
_space_group_name_H-M_alt 'P 1'
_space_group_IT_number 1
_space_group_name_Hall 'P 1'
loop_
_atom_site_label
_atom_site_fract_x
_atom_site_fract_y
_atom_site_fract_z
Nd1 0.500 0.000 0.500
Ca1 0.000 0.000 0.000
Nd2 0.500 0.500 0.799
Nd3 0.000 0.500 0.301
Nd4 0.500 0.500 0.400
Nd5 0.000 0.500 0.500
Nd6 0.000 0.500 0.103
Nd7 0.500 0.000 0.699
Nd8 0.500 0.500 0.000
Nd9 0.000 0.500 0.897
Nd10 0.500 0.000 0.301
Y1 0.000 0.000 0.401
Nd11 0.500 0.000 0.103
Y2 0.000 0.000 0.599
Nd12 0.000 0.500 0.699
Y3 0.000 0.000 0.799
Y4 0.000 0.000 0.201
Nd13 0.500 0.500 0.201
Nd14 0.500 0.500 0.600
Nd15 0.500 0.000 0.897
```

Entry 5:
This record from Alexandria via LeMat-Bulk describes an optimized crystal structure of CaNd3Y3. The functional is GGA-PBE.

Its density of states at the Fermi level is 19.359 states/eV/cell. Its space group is P-1 (2). As for the total energy: -35.37 eV/f.u. The energy relative to the elements comes out at 0.047 eV/atom.

```
data_CaNd3Y3
_chemical_formula_sum 'Ca2 Nd6 Y6'
_cell_length_a 8.142
_cell_length_b 12.657
_cell_length_c 6.348
_cell_angle_alpha 80.56
_cell_angle_beta 75.06
_cell_angle_gamma 49.86
_space_group_name_H-M_alt 'P 1'
_space_group_IT_number 1
_space_group_name_Hall 'P 1'
loop_
_atom_site_label
_atom_site_fract_x
_atom_site_fract_y
_atom_site_fract_z
Nd1 0.006 0.756 0.997
Y1 0.718 0.104 0.151
Nd2 0.994 0.244 0.003
Y2 0.138 0.824 0.430
Ca1 0.712 0.610 0.141
Nd3 0.427 0.464 0.287
Y3 0.862 0.176 0.570
Nd4 0.573 0.536 0.713
Ca2 0.288 0.390 0.859
Y4 0.859 0.683 0.562
Nd5 0.574 0.029 0.715
Y5 0.282 0.896 0.849
Y6 0.141 0.317 0.438
Nd6 0.426 0.971 0.285
```

Entry 6:
This record from Alexandria via LeMat-Bulk describes an optimized crystal structure of CaNd3Y8. The functional is GGA-PBE.

Its density of states at the Fermi level is 20.144 states/eV/cell. Its space group is I-42m (121). As for the total energy: -60.27 eV/f.u. The energy relative to the elements comes out at 0.646 eV/atom.

```
data_CaNd3Y8
_chemical_formula_sum 'Ca1 Nd3 Y8'
_cell_length_a 8.610
_cell_length_b 8.610
_cell_length_c 8.610
_cell_angle_alpha 92.15
_cell_angle_beta 118.77
_cell_angle_gamma 118.77
_space_group_name_H-M_alt 'P 1'
_space_group_IT_number 1
_space_group_name_Hall 'P 1'
loop_
_atom_site_label
_atom_site_fract_x
_atom_site_fract_y
_atom_site_fract_z
Y1 0.273 0.411 0.411
Y2 0.535 0.311 0.311
Ca1 0.000 0.000 0.000
Nd1 0.500 0.250 0.750
Y3 0.000 0.589 0.862
Y4 0.000 0.689 0.224
Y5 0.000 0.862 0.589
Y6 0.000 0.224 0.689
Y7 0.465 0.776 0.776
Y8 0.727 0.138 0.138
Nd2 0.500 0.750 0.250
Nd3 0.000 0.500 0.500
```

Entry 7:
This record from Alexandria via LeMat-Bulk describes an optimized crystal structure of CaNd3Y7. The functional is GGA-PBE.

Its density of states at the Fermi level is 16.850 states/eV/cell. Its space group is C2/m (12). For the relative energy among the computed polymorphs, the calculation gives 0.017 eV/atom. As for the total energy: -58.96 eV/f.u. The energy relative to the elements comes out at 0.236 eV/atom.

```
data_CaNd3Y7
_chemical_formula_sum 'Ca1 Nd3 Y7'
_cell_length_a 6.525
_cell_length_b 7.787
_cell_length_c 7.787
_cell_angle_alpha 81.37
_cell_angle_beta 86.46
_cell_angle_gamma 86.46
_space_group_name_H-M_alt 'P 1'
_space_group_IT_number 1
_space_group_name_Hall 'P 1'
loop_
_atom_site_label
_atom_site_fract_x
_atom_site_fract_y
_atom_site_fract_z
Nd1 0.000 0.826 0.174
Y1 0.259 0.087 0.426
Y2 0.207 0.765 0.765
Nd2 0.000 0.174 0.826
Y3 0.741 0.913 0.574
Nd3 0.500 0.000 0.000
Ca1 0.500 0.500 0.500
Y4 0.000 0.500 0.500
Y5 0.793 0.235 0.235
Y6 0.741 0.574 0.913
Y7 0.259 0.426 0.087
```

Entry 8:
This record from Alexandria via LeMat-Bulk describes an optimized crystal structure of Ca5NdZn6. The functional is GGA-PBE.

Its density of states at the Fermi level is 7.250 states/eV/cell. Its space group is P2/m (10). As for the total energy: -25.52 eV/f.u. The energy relative to the elements comes out at -0.259 eV/atom.

```
data_Ca5NdZn6
_chemical_formula_sum 'Ca5 Nd1 Zn6'
_cell_length_a 5.214
_cell_length_b 7.362
_cell_length_c 8.216
_cell_angle_alpha 90.00
_cell_angle_beta 71.42
_cell_angle_gamma 90.00
_space_group_name_H-M_alt 'P 1'
_space_group_IT_number 1
_space_group_name_Hall 'P 1'
loop_
_atom_site_label
_atom_site_fract_x
_atom_site_fract_y
_atom_site_fract_z
Zn1 0.500 0.243 0.000
Ca1 0.666 0.500 0.667
Zn2 0.166 0.753 0.669
Zn3 0.834 0.753 0.331
Ca2 0.000 0.500 0.000
Ca3 0.334 0.500 0.333
Zn4 0.166 0.247 0.669
Ca4 0.669 0.000 0.663
Ca5 0.331 0.000 0.337
Nd1 0.000 0.000 0.000
Zn5 0.500 0.757 0.000
Zn6 0.834 0.247 0.331
```

Entry 9:
This record from Alexandria via LeMat-Bulk describes an optimized crystal structure of Ca2Nd3Zn3. The functional is GGA-PBE.

Its density of states at the Fermi level is 8.003 states/eV/cell. Its space group is Immm (71). As for the total energy: -23.51 eV/f.u. The energy relative to the elements comes out at -0.173 eV/atom.

```
data_Ca2Nd3Zn3
_chemical_formula_sum 'Ca2 Nd3 Zn3'
_cell_length_a 3.690
_cell_length_b 5.337
_cell_length_c 12.128
_cell_angle_alpha 102.71
_cell_angle_beta 98.75
_cell_angle_gamma 90.00
_space_group_name_H-M_alt 'P 1'
_space_group_IT_number 1
_space_group_name_Hall 'P 1'
loop_
_atom_site_label
_atom_site_fract_x
_atom_site_fract_y
_atom_site_fract_z
Zn1 0.000 0.500 0.000
Nd1 0.500 0.000 0.000
Nd2 0.390 0.390 0.780
Zn2 0.893 0.893 0.785
Nd3 0.610 0.610 0.220
Ca1 0.717 0.217 0.433
Ca2 0.283 0.783 0.567
Zn3 0.107 0.107 0.215
```

Entry 10:
This record from Alexandria via LeMat-Bulk describes an optimized crystal structure of CaNd4Zn4. The functional is GGA-PBE.

Its density of states at the Fermi level is 19.438 states/eV/cell. Its space group is P4_2/n (86). As for the total energy: -26.86 eV/f.u. The energy relative to the elements comes out at -0.077 eV/atom.

```
data_CaNd4Zn4
_chemical_formula_sum 'Ca2 Nd8 Zn8'
_cell_length_a 5.858
_cell_length_b 9.609
_cell_length_c 9.609
_cell_angle_alpha 90.00
_cell_angle_beta 90.00
_cell_angle_gamma 90.00
_space_group_name_H-M_alt 'P 1'
_space_group_IT_number 1
_space_group_name_Hall 'P 1'
loop_
_atom_site_label
_atom_site_fract_x
_atom_site_fract_y
_atom_site_fract_z
Nd1 0.620 0.912 0.663
Nd2 0.880 0.412 0.163
Zn1 0.878 0.733 0.144
Nd3 0.120 0.163 0.588
Zn2 0.122 0.144 0.267
Zn3 0.122 0.856 0.733
Nd4 0.880 0.588 0.837
Zn4 0.378 0.356 0.233
Ca1 0.000 0.000 0.000
Nd5 0.120 0.837 0.412
Nd6 0.620 0.088 0.337
Ca2 0.500 0.500 0.500
Zn5 0.378 0.644 0.767
Zn6 0.622 0.767 0.356
Zn7 0.878 0.267 0.856
Nd7 0.380 0.337 0.912
Nd8 0.380 0.663 0.088
Zn8 0.622 0.233 0.644
```